Density functional theory data (GGA-PBE) for crystalline Y2SbAs at its relaxed geometry.

Lattice parameters (Å, degrees): 4.465 5.831 7.924 90.00 90.00 90.00
Element x y z (fractional)
Y1 0.000 0.000 0.232
Y2 0.000 0.000 0.768
Y3 0.500 0.500 0.232
Y4 0.500 0.500 0.768
Sb1 0.000 0.500 0.500
Sb2 0.500 0.000 0.500
As1 0.000 0.500 0.000
As2 0.500 0.000 0.000

Properties
Raw formation energy = -1012 meV/atom
VASP energy = -0.2366 Ha/atom

Density functional theory data (GGA-PBE) for crystalline CeNdEr4 at its relaxed geometry.

Lattice parameters (Å, degrees): 6.568 6.568 10.344 90.00 90.00 120.51
Element x y z (fractional)
Ce1 0.000 0.000 0.000
Ce2 0.000 0.000 0.500
Nd1 0.170 0.830 0.750
Nd2 0.830 0.170 0.250
Er1 0.165 0.348 0.750
Er2 0.340 0.660 0.068
Er3 0.340 0.660 0.432
Er4 0.348 0.165 0.250
Er5 0.652 0.835 0.750
Er6 0.660 0.340 0.568
Er7 0.660 0.340 0.932
Er8 0.835 0.652 0.250

Properties
Energy of formation from the pure elements = 0.25 eV per atom
Offset from the most stable computed form = 197 meV per atom
VASP energy = -0.1682 Ha/atom